4
Lattice="0.000 3.671 3.671 3.671 0.000 3.671 3.671 3.671 0.000" Properties=species:S:1:pos:R:3 comment="PmMgPbAu | the Alexandria database | PBE-GGA | optimized geometry" volume_a3_per_cell=98.9 m_tot_mub_per_fu=0.00 formation_enthalpy_0k_ev_per_atom=-0.52 final_energy_ev_per_atom=-3.85 density_g_cm3=9.63 pbc="T T T"
Pm 0.000 0.000 0.000
Mg 3.671 3.671 3.671
Pb 1.835 1.835 1.835
Au 5.506 5.506 5.506